(1)
A geometry-optimized Np2Ge8Rh structure. Source: Alexandria via LeMat-Bulk, functional PBE.

Lattice parameters (Å, degrees): 4.2947 4.2947 11.1378 90.00 90.00 90.00
Closest atoms and distances in Å follow each position.
Space group P4/mmm (No. 123)
Unique sites:
Np 0.0000 0.0000 0.1866  12 Ge 2.98-3.04
Ge 0.0000 0.5000 0.0000  4 Np 2.99, 8 Ge 3.02-3.04
Ge 0.0000 0.5000 0.3722  2 Rh 2.58, 1 Ge 2.85
Ge 0.5000 0.5000 0.1901  8 Ge 2.95-3.02, 4 Np 3.04
Rh 0.0000 0.0000 0.5000  8 Ge 2.58

Computed properties:
Spin magnetization: 6.77 Bohr magnetons per cell
ΔH_f (0 K): -0.22 eV per atom
Calculated volume: 205.43 Å³/f.u.
DOS(E_F): 19.3 states/eV/f.u.


(2)
A geometry-optimized Np3Ge7Rh2 structure. Source: Alexandria via LeMat-Bulk, functional PBE.

Lattice parameters (Å, degrees): 4.0880 27.8517 3.9945 90.00 90.00 90.00
Closest atoms and distances in Å follow each position.
Space group Cmmm (No. 65)
Unique sites:
Np 0.0000 0.0000 0.0000  12 Ge 2.86-3.05
Np 0.0000 0.1786 0.0000  4 Rh 3.06, 10 Ge 3.14-3.39
Ge 0.0000 0.0822 0.5000  2 Rh 2.58, 4 Ge 2.86
Ge 0.0000 0.2745 0.5000  1 Rh 2.41, 2 Ge 2.46
Ge 0.0000 0.4185 0.0000  2 Rh 2.56, 4 Ge 2.86
Ge 0.0000 0.5000 0.5000  4 Np 2.86, 8 Ge 3.02-3.07
Rh 0.0000 0.3610 0.5000  5 Ge 2.41-2.58

Computed properties:
Spin magnetization: 15.15 Bohr magnetons per cell
ΔH_f (0 K): -0.21 eV per atom
Calculated volume: 227.40 Å³/f.u.
DOS(E_F): 27.2 states/eV/f.u.


(3)
A geometry-optimized NpGe2Rh4 structure. Source: Alexandria via LeMat-Bulk, functional PBE.

Lattice parameters (Å, degrees): 7.7060 7.7060 3.9004 90.00 90.00 90.00
Closest atoms and distances in Å follow each position.
Space group P4_2/mnm (No. 136)
Unique sites:
Np 0.0000 0.0000 0.0000  6 Ge 3.00-3.13, 8 Rh 3.30
Ge 0.2248 0.2248 0.5000  6 Rh 2.50-2.51
Rh 0.0792 0.6635 0.5000  3 Ge 2.50-2.51, 4 Rh 2.78

Computed properties:
Spin magnetization: 7.20 Bohr magnetons per cell
ΔH_f (0 K): -0.45 eV per atom
Calculated volume: 115.81 Å³/f.u.
DOS(E_F): 13.6 states/eV/f.u.


(4)
A geometry-optimized NpGe2Rh4 structure. Source: Alexandria via LeMat-Bulk, functional PBE.

Lattice parameters (Å, degrees): 3.9578 3.9578 16.9074 90.00 90.00 90.00
Closest atoms and distances in Å follow each position.
Space group I4/mmm (No. 139)
Unique sites:
Np 0.0000 0.0000 0.0000  2 Rh 2.25
Ge 0.0000 0.0000 0.3459  8 Rh 2.56-2.82
Rh 0.0000 0.0000 0.1330  1 Np 2.25
Rh 0.0000 0.5000 0.2500  4 Ge 2.56, 8 Rh 2.80

Computed properties:
Spin magnetization: 5.10 Bohr magnetons per cell
ΔH_f (0 K): -0.21 eV per atom
Calculated volume: 132.42 Å³/f.u.
DOS(E_F): 11.6 states/eV/f.u.


(5)
A geometry-optimized Np3Ge5Rh6 structure. Source: Alexandria via LeMat-Bulk, functional PBE.

Lattice parameters (Å, degrees): 4.1125 12.5599 9.7107 90.00 90.00 90.00
Closest atoms and distances in Å follow each position.
Space group Pmmn (No. 59, origin choice 2)
Unique sites:
Np 0.2500 0.0870 0.2441  7 Rh 3.00-3.29, 6 Ge 3.09-3.12
Np 0.2500 0.7500 0.2497  6 Ge 2.95-3.12, 4 Rh 3.11-3.18
Ge 0.2500 0.0800 0.6488  5 Rh 2.47-2.53
Ge 0.2500 0.6326 0.9864  5 Rh 2.42-2.56
Ge 0.2500 0.7500 0.6417  4 Rh 2.53
Rh 0.2500 0.0486 0.9001  4 Ge 2.42-2.56
Rh 0.2500 0.2500 0.0187  4 Ge 2.53, 2 Rh 2.78
Rh 0.2500 0.2500 0.5098  4 Ge 2.53
Rh 0.2500 0.5830 0.4958  4 Ge 2.49-2.53

Computed properties:
Spin magnetization: 22.55 Bohr magnetons per cell
ΔH_f (0 K): -0.52 eV per atom
Calculated volume: 250.79 Å³/f.u.
DOS(E_F): 36.9 states/eV/f.u.


(6)
A geometry-optimized Np2GeRh6 structure. Source: Alexandria via LeMat-Bulk, functional PBE.

Lattice parameters (Å, degrees): 3.8942 6.8946 12.2326 90.00 90.00 90.00
Closest atoms and distances in Å follow each position.
Space group Immm (No. 71)
Unique sites:
Np 0.0000 0.0000 0.1539  8 Rh 2.66-2.72
Ge 0.0000 0.0000 0.5000  8 Rh 2.50-2.56
Rh 0.0000 0.2257 0.3340  1 Ge 2.56, 3 Np 2.70-2.72, 4 Rh 2.81-2.85
Rh 0.0000 0.2724 0.0000  2 Ge 2.50, 2 Np 2.66

Computed properties:
Spin magnetization: 7.90 Bohr magnetons per cell
ΔH_f (0 K): -0.27 eV per atom
Calculated volume: 164.21 Å³/f.u.
DOS(E_F): 13.4 states/eV/f.u.